# AlVW3 | Alexandria via LeMat-Bulk | GGA-PBE | optimized geometry
# formation enthalpy at 0 K = -0.03 eV/atom
# energy relative to the lowest polymorph listed for this composition = 0.0 kJ/mol of formula units
# N(E_F) = 10.2 states/eV per cell
# crystal system = monoclinic
data_AlVW3
_cell_length_a 15.9889
_cell_length_b 3.1842
_cell_length_c 6.1849
_cell_angle_alpha 90.00
_cell_angle_beta 101.12
_cell_angle_gamma 90.00
_symmetry_space_group_name_H-M 'C 1 m 1'
_symmetry_Int_Tables_number 8
loop_
_symmetry_equiv_pos_as_xyz
'x,y,z'
'x,-y,z'
'x+1/2,y+1/2,z'
'x+1/2,-y+1/2,z'
loop_
_atom_site_label
_atom_site_type_symbol
_atom_site_fract_x
_atom_site_fract_y
_atom_site_fract_z
Al1 Al 0.0000 0.0000 0.0000
Al2 Al 0.1059 0.5000 0.7897
V1 V 0.3040 0.5000 0.3982
V2 V 0.4038 0.0000 0.6975
W1 W 0.9999 0.0000 0.5014
W2 W 0.1050 0.5000 0.3011
W3 W 0.2039 0.0000 0.0954
W4 W 0.2079 0.0000 0.5930
W5 W 0.3058 0.5000 0.8960
W6 W 0.4011 0.0000 0.2057